1.
A plane-wave DFT calculation with PBE was carried out for LiTa2Sn after structural relaxation.

```
LiTa2Sn
1.0
4.5579 0.0000 0.0000
-2.2789 3.9472 0.0000
0.0000 0.0000 8.7008
Ta Sn Li
4 2 2
Direct
0.6667 0.3333 0.0810 Ta
0.3333 0.6667 0.5810 Ta
0.6667 0.3333 0.4190 Ta
0.3333 0.6667 0.9190 Ta
0.6667 0.3333 0.7500 Sn
0.3333 0.6667 0.2500 Sn
0.0000 0.0000 0.0000 Li
0.0000 0.0000 0.5000 Li
```

Summary:
- E (eV per formula unit) = -27.8

---

2.
A plane-wave DFT calculation with PBE was carried out for PrGdBC2 after structural relaxation.

```
PrGdBC2
1.0
-3.1198 2.1261 -0.0739
-2.0241 -2.9255 1.2664
3.4376 1.9741 4.6301
C Pr Gd B
2 1 1 1
Direct
0.1352 0.1352 0.2653 C
0.8613 0.8613 0.7270 C
0.3537 0.3537 0.7140 Pr
0.6525 0.6525 0.2978 Gd
0.9972 0.9972 0.9959 B
```

Summary:
- E (eV per formula unit) = -36.2

---

3.
A plane-wave DFT calculation with PBE was carried out for LuSiGe2 after structural relaxation.

```
LuSiGe2
1.0
0.0000 3.4230 3.4230
3.4230 0.0000 3.4230
3.4230 3.4230 0.0000
Ge Si Lu
2 1 1
Direct
0.0000 0.0000 0.0000 Ge
0.7500 0.7500 0.7500 Ge
0.5000 0.5000 0.5000 Si
0.2500 0.2500 0.2500 Lu
```

Summary:
- E (eV per formula unit) = -19.1

---

4.
A plane-wave DFT calculation with PBE was carried out for TbHo2Al3Si2Pd after structural relaxation.

```
TbHo2Al3Si2Pd
1.0
-1.3833 -3.9962 0.4055
-0.5026 0.8646 6.8070
-5.3627 1.4442 -4.0610
Al Tb Ho Pd Si
3 1 2 1 2
Direct
0.5000 0.7612 0.0005 Al
0.5000 0.0005 0.7612 Al
0.5000 0.2385 0.2385 Al
0.0000 0.5819 0.5819 Tb
0.0000 0.4173 0.9995 Ho
0.0000 0.9995 0.4173 Ho
0.0000 0.0022 0.0022 Pd
0.5000 0.3317 0.6672 Si
0.5000 0.6672 0.3317 Si
```

Summary:
- E (eV per formula unit) = -48.2

---

5.
A plane-wave DFT calculation with PBE was carried out for Gd2HoAl3Cu2Ni after structural relaxation.

```
Gd2HoAl3Cu2Ni
1.0
-3.6092 -1.5050 -0.7141
2.5627 -6.5145 0.7771
-2.5566 3.4958 5.5545
Al Gd Cu Ho Ni
3 2 2 1 1
Direct
0.5000 0.7701 0.9974 Al
0.5000 0.9974 0.7701 Al
0.5000 0.2307 0.2307 Al
0.0000 0.4132 0.0007 Gd
0.0000 0.0007 0.4132 Gd
0.5000 0.6654 0.3360 Cu
0.5000 0.3360 0.6654 Cu
0.0000 0.5894 0.5894 Ho
0.0000 0.9970 0.9970 Ni
```

Summary:
- E (eV per formula unit) = -42.6

---

6.
A plane-wave DFT calculation with PBE was carried out for RbMgTc after structural relaxation.

```
RbMgTc
1.0
0.0000 3.6979 3.6979
3.6979 0.0000 3.6979
3.6979 3.6979 0.0000
Rb Tc Mg
1 1 1
Direct
0.7500 0.7500 0.7500 Rb
0.0000 0.0000 0.0000 Tc
0.2500 0.2500 0.2500 Mg
```

Summary:
- polymorph energy (0 for the lowest one) (eV/atom) = 0.000

---

7.
A plane-wave DFT calculation with PBE was carried out for Dy2CuPd after structural relaxation.

```
Dy2CuPd
1.0
5.5181 0.0000 0.0000
0.0000 4.5521 0.0000
-2.4977 0.0000 6.9979
Pd Dy Cu
2 4 2
Direct
0.8422 0.7500 0.7128 Pd
0.1578 0.2500 0.2872 Pd
0.2785 0.7500 0.0700 Dy
0.7215 0.2500 0.9300 Dy
0.2775 0.7500 0.5685 Dy
0.7225 0.2500 0.4315 Dy
0.8435 0.7500 0.2087 Cu
0.1565 0.2500 0.7913 Cu
```

Summary:
- E (eV per formula unit) = -20.5

---

8.
A plane-wave DFT calculation with PBE was carried out for TaBeIn after structural relaxation.

```
TaBeIn
1.0
1.4256 -4.0880 0.9659
-2.7597 -3.4542 -0.3604
0.5775 -2.9714 -3.2426
Be Ta In
1 1 1
Direct
0.2500 0.2500 0.2500 Be
0.0000 0.0000 0.0000 Ta
0.7500 0.7500 0.7500 In
```

Summary:
- polymorph energy (0 for the lowest one) (eV/atom) = 0.000

---

9.
A plane-wave DFT calculation with PBE was carried out for CsFeAg after structural relaxation.

```
CsFeAg
1.0
0.0000 3.7981 3.7981
3.7981 0.0000 3.7981
3.7981 3.7981 0.0000
Fe Ag Cs
1 1 1
Direct
0.0000 0.0000 0.0000 Fe
0.2500 0.2500 0.2500 Ag
0.7500 0.7500 0.7500 Cs
```

Summary:
- polymorph energy (0 for the lowest one) (eV/atom) = 0.000

---

10.
A plane-wave DFT calculation with PBE was carried out for RbNpAgS3 after structural relaxation.

```
RbNpAgS3
1.0
2.0519 -7.3879 0.0000
2.0519 7.3879 0.0000
0.0000 0.0000 10.4382
S Ag Rb Np
6 2 2 2
Direct
0.6186 0.3814 0.9639 S
0.3814 0.6186 0.4639 S
0.3814 0.6186 0.0361 S
0.6186 0.3814 0.5361 S
0.0572 0.9428 0.2500 S
0.9428 0.0572 0.7500 S
0.5460 0.4540 0.7500 Ag
0.4540 0.5460 0.2500 Ag
0.2608 0.7392 0.7500 Rb
0.7392 0.2608 0.2500 Rb
0.0000 0.0000 0.5000 Np
0.0000 0.0000 0.0000 Np
```

Summary:
- E (eV per formula unit) = -35.6

---

11.
A plane-wave DFT calculation with PBE was carried out for NaNiPd after structural relaxation.

```
NaNiPd
1.0
-1.3208 1.2850 3.8121
-2.2348 3.5771 0.3713
-4.1153 -0.1671 0.9819
Ni Na Pd
1 1 1
Direct
0.0000 0.0000 0.0000 Ni
0.2500 0.2500 0.2500 Na
0.7500 0.7500 0.7500 Pd
```

Summary:
- polymorph energy (0 for the lowest one) (eV/atom) = 0.000

---

12.
A plane-wave DFT calculation with PBE was carried out for La2ErMg3Ir2Pt after structural relaxation.

```
La2ErMg3Ir2Pt
1.0
4.1077 0.0000 0.0000
0.0000 6.4826 3.7154
0.0000 -6.4826 3.7154
Er La Pt Mg Ir
1 2 1 3 2
Direct
0.0000 0.5887 0.5887 Er
0.0000 0.4210 0.0011 La
0.0000 0.0011 0.4210 La
0.0000 0.9901 0.9901 Pt
0.5000 0.9937 0.7569 Mg
0.5000 0.7569 0.9937 Mg
0.5000 0.2476 0.2476 Mg
0.5000 0.6610 0.3400 Ir
0.5000 0.3400 0.6610 Ir
```

Summary:
- E (eV per formula unit) = -49.6

---

no.,magnetic moment (μB per formula unit)
1,0.82
2,0.00
3,0.00
4,0.00
5,0.00
6,3.04
7,0.00
8,0.00
9,3.27
10,3.00
11,0.66
12,0.00